8
Lattice="-0.280 2.482 3.740 2.868 -2.785 2.062 9.032 5.479 -0.256" Properties=species:S:1:pos:R:3 comment="YCrHg2 | Alexandria | PBE | optimized geometry" spacegroup="I-42d, No. 122" polymorph_energy_ev_per_atom=0.3744 delta_e_f_mev_per_atom=283 magmom_total_mub_per_fu=4.11 pbc="T T T"
Hg 4.005 0.029 1.826
Hg 2.452 2.484 2.398
Hg 8.936 3.945 4.811
Hg 7.847 3.897 2.058
Y 0.000 0.000 0.000
Y 5.023 3.905 3.193
Cr 1.294 -0.151 2.901
Cr 6.597 1.272 2.354